A plane-wave DFT calculation with meta-GGA SCAN was carried out for a crystal of BaAsO2F relaxed with PBEsol.

Properties
Raw formation energy   -0.368 eV per atom
DFT total energy   -15.517 eV/atom

Unit cell a=4.681 b=4.681 c=4.788 alpha=90.00 beta=90.00 gamma=90.00
Positions (direct):
Ba (0.000, 0.000, 0.000)
As (0.500, 0.500, 0.500)
O (0.000, 0.500, 0.000)
O (0.500, 0.000, 0.000)
F (0.000, 0.000, 0.500)


A plane-wave DFT calculation with meta-GGA SCAN was carried out for a crystal of FePN2O relaxed with PBEsol.

Properties
Raw formation energy   0.110 eV per atom
DFT total energy   -10.559 eV/atom

Unit cell a=3.476 b=3.476 c=3.440 alpha=90.00 beta=90.00 gamma=90.00
Positions (direct):
Fe (0.000, 0.000, 0.000)
P (0.500, 0.500, 0.500)
N (0.000, 0.500, 0.500)
N (0.500, 0.000, 0.500)
O (0.500, 0.500, 0.000)


A plane-wave DFT calculation with meta-GGA SCAN was carried out for a crystal of LuAl10Os2 relaxed with PBEsol.

Properties
Energy of formation from the pure elements   -0.54 eV per atom
DFT total energy   -21.814 eV/atom

Unit cell a=6.793 b=6.793 c=9.047 alpha=90.00 beta=90.00 gamma=96.58
Positions (direct):
Lu (0.131, 0.869, 0.750)
Lu (0.869, 0.131, 0.250)
Al (0.147, 0.417, 0.750)
Al (0.154, 0.846, 0.100)
Al (0.154, 0.846, 0.400)
Al (0.217, 0.480, 0.250)
Al (0.223, 0.223, 0.000)
Al (0.223, 0.223, 0.500)
Al (0.376, 0.624, 0.547)
Al (0.376, 0.624, 0.953)
Al (0.417, 0.147, 0.250)
Al (0.480, 0.217, 0.750)
Al (0.520, 0.783, 0.250)
Al (0.583, 0.853, 0.750)
Al (0.624, 0.376, 0.047)
Al (0.624, 0.376, 0.453)
Al (0.777, 0.777, 0.000)
Al (0.777, 0.777, 0.500)
Al (0.783, 0.520, 0.750)
Al (0.846, 0.154, 0.600)
Al (0.846, 0.154, 0.900)
Al (0.853, 0.583, 0.250)
Os (0.000, 0.500, 0.000)
Os (0.000, 0.500, 0.500)
Os (0.500, 0.000, 0.000)
Os (0.500, 0.000, 0.500)


A plane-wave DFT calculation with meta-GGA SCAN was carried out for a crystal of Na3BiOs relaxed with PBEsol.

Properties
Energy of formation from the pure elements   1.19 eV per atom
DFT total energy   -31.430 eV/atom

Unit cell a=5.463 b=5.463 c=5.463 alpha=90.00 beta=90.00 gamma=90.00
Positions (direct):
Na (0.000, 0.000, 0.500)
Na (0.000, 0.500, 0.000)
Na (0.500, 0.000, 0.000)
Bi (0.500, 0.500, 0.500)
Os (0.000, 0.000, 0.000)


A plane-wave DFT calculation with meta-GGA SCAN was carried out for a crystal of Rb2TlBiF6 relaxed with PBEsol.

Properties
Raw formation energy   -2.447 eV per atom
DFT total energy   -23.812 eV/atom

Unit cell a=6.831 b=6.831 c=6.831 alpha=60.00 beta=60.00 gamma=60.00
Positions (direct):
Rb (0.250, 0.250, 0.250)
Rb (0.750, 0.750, 0.750)
Tl (0.000, 0.000, 0.000)
Bi (0.500, 0.500, 0.500)
F (0.267, 0.267, 0.733)
F (0.267, 0.733, 0.267)
F (0.267, 0.733, 0.733)
F (0.733, 0.267, 0.267)
F (0.733, 0.267, 0.733)
F (0.733, 0.733, 0.267)


A plane-wave DFT calculation with meta-GGA SCAN was carried out for a crystal of Ta2BeSi relaxed with PBEsol.

Properties
Raw formation energy   0.141 eV per atom
DFT total energy   -36.743 eV/atom

Unit cell a=6.662 b=6.662 c=5.406 alpha=90.00 beta=90.00 gamma=90.00
Positions (direct):
Ta (0.241, 0.750, 0.125)
Ta (0.250, 0.241, 0.875)
Ta (0.250, 0.259, 0.375)
Ta (0.259, 0.750, 0.625)
Ta (0.741, 0.250, 0.625)
Ta (0.750, 0.741, 0.375)
Ta (0.750, 0.759, 0.875)
Ta (0.759, 0.250, 0.125)
Be (0.000, 0.000, 0.000)
Be (0.000, 0.500, 0.250)
Be (0.500, 0.000, 0.750)
Be (0.500, 0.500, 0.500)
Si (0.000, 0.000, 0.500)
Si (0.000, 0.500, 0.750)
Si (0.500, 0.000, 0.250)
Si (0.500, 0.500, 0.000)


A plane-wave DFT calculation with meta-GGA SCAN was carried out for a crystal of OsRu2 relaxed with PBEsol.

Properties
Energy of formation from the pure elements   -0.01 eV per atom
DFT total energy   -47.190 eV/atom

Unit cell a=9.741 b=2.703 c=6.335 alpha=90.00 beta=103.67 gamma=90.00
Positions (direct):
Os (0.000, 0.000, 0.000)
Os (0.167, 0.500, 0.334)
Os (0.500, 0.500, 0.000)
Os (0.667, 0.000, 0.334)
Ru (0.056, 0.000, 0.612)
Ru (0.222, 0.500, 0.945)
Ru (0.334, 0.000, 0.667)
Ru (0.389, 0.000, 0.279)
Ru (0.556, 0.500, 0.612)
Ru (0.722, 0.000, 0.945)
Ru (0.834, 0.500, 0.667)
Ru (0.889, 0.500, 0.279)


A plane-wave DFT calculation with meta-GGA SCAN was carried out for a crystal of LiCa relaxed with PBEsol.

Properties
Energy of formation from the pure elements   0.03 eV per atom
DFT total energy   -6.000 eV/atom

Unit cell a=12.978 b=3.877 c=7.730 alpha=90.00 beta=107.36 gamma=90.00
Positions (direct):
Li (0.000, 0.000, 0.000)
Li (0.010, 0.000, 0.432)
Li (0.369, 0.000, 0.147)
Li (0.500, 0.500, 0.000)
Li (0.510, 0.500, 0.432)
Li (0.869, 0.500, 0.147)
Ca (0.177, 0.500, 0.807)
Ca (0.183, 0.500, 0.292)
Ca (0.382, 0.000, 0.653)
Ca (0.677, 0.000, 0.807)
Ca (0.683, 0.000, 0.292)
Ca (0.882, 0.500, 0.653)


A plane-wave DFT calculation with meta-GGA SCAN was carried out for a crystal of Li2Ni3SbO8 relaxed with PBEsol.

Properties
Raw formation energy   -1.556 eV per atom
DFT total energy   -11.585 eV/atom

Unit cell a=8.254 b=8.254 c=8.254 alpha=90.00 beta=90.00 gamma=90.00
Positions (direct):
Li (0.004, 0.496, 0.504)
Li (0.246, 0.746, 0.754)
Li (0.254, 0.254, 0.254)
Li (0.496, 0.504, 0.004)
Li (0.504, 0.004, 0.496)
Li (0.746, 0.754, 0.246)
Li (0.754, 0.246, 0.746)
Li (0.996, 0.996, 0.996)
Ni (0.121, 0.129, 0.625)
Ni (0.125, 0.379, 0.871)
Ni (0.129, 0.625, 0.121)
Ni (0.371, 0.375, 0.621)
Ni (0.375, 0.621, 0.371)
Ni (0.379, 0.871, 0.125)
Ni (0.621, 0.371, 0.375)
Ni (0.625, 0.121, 0.129)
Ni (0.629, 0.875, 0.879)
Ni (0.871, 0.125, 0.379)
Ni (0.875, 0.879, 0.629)
Ni (0.879, 0.629, 0.875)
Sb (0.125, 0.875, 0.375)
Sb (0.375, 0.125, 0.875)
Sb (0.625, 0.625, 0.625)
Sb (0.875, 0.375, 0.125)
O (0.108, 0.118, 0.386)
O (0.109, 0.609, 0.891)
O (0.114, 0.892, 0.618)
O (0.118, 0.386, 0.108)
O (0.132, 0.142, 0.864)
O (0.136, 0.632, 0.358)
O (0.141, 0.359, 0.641)
O (0.142, 0.864, 0.132)
O (0.358, 0.136, 0.632)
O (0.359, 0.641, 0.141)
O (0.364, 0.368, 0.858)
O (0.368, 0.858, 0.364)
O (0.382, 0.614, 0.608)
O (0.386, 0.108, 0.118)
O (0.391, 0.391, 0.391)
O (0.392, 0.882, 0.886)
O (0.608, 0.382, 0.614)
O (0.609, 0.891, 0.109)
O (0.614, 0.608, 0.382)
O (0.618, 0.114, 0.892)
O (0.632, 0.358, 0.136)
O (0.636, 0.868, 0.642)
O (0.641, 0.141, 0.359)
O (0.642, 0.636, 0.868)
O (0.858, 0.364, 0.368)
O (0.859, 0.859, 0.859)
O (0.864, 0.132, 0.142)
O (0.868, 0.642, 0.636)
O (0.882, 0.886, 0.392)
O (0.886, 0.392, 0.882)
O (0.891, 0.109, 0.609)
O (0.892, 0.618, 0.114)


A plane-wave DFT calculation with meta-GGA SCAN was carried out for a crystal of Rb2CaH relaxed with PBEsol.

Properties
DFT total energy   -13.058 eV/atom

Unit cell a=9.246 b=9.246 c=9.246 alpha=90.00 beta=90.00 gamma=90.00
Positions (direct):
Rb (0.250, 0.250, 0.250)
Rb (0.250, 0.250, 0.750)
Rb (0.250, 0.750, 0.250)
Rb (0.250, 0.750, 0.750)
Rb (0.750, 0.250, 0.250)
Rb (0.750, 0.250, 0.750)
Rb (0.750, 0.750, 0.250)
Rb (0.750, 0.750, 0.750)
Ca (0.000, 0.000, 0.000)
Ca (0.000, 0.500, 0.500)
Ca (0.500, 0.000, 0.500)
Ca (0.500, 0.500, 0.000)
H (0.000, 0.000, 0.500)
H (0.000, 0.500, 0.000)
H (0.500, 0.000, 0.000)
H (0.500, 0.500, 0.500)


A plane-wave DFT calculation with meta-GGA SCAN was carried out for a crystal of BaHgPb2 relaxed with PBEsol.

Properties
Energy of formation from the pure elements   -0.30 eV per atom
DFT total energy   -65.118 eV/atom

Unit cell a=6.894 b=10.264 c=3.502 alpha=90.00 beta=90.00 gamma=90.00
Positions (direct):
Ba (0.000, 0.000, 0.000)
Ba (0.500, 0.500, 0.000)
Hg (0.000, 0.500, 0.000)
Hg (0.500, 0.000, 0.000)
Pb (0.250, 0.250, 0.500)
Pb (0.250, 0.750, 0.500)
Pb (0.750, 0.250, 0.500)
Pb (0.750, 0.750, 0.500)


A plane-wave DFT calculation with meta-GGA SCAN was carried out for a crystal of Mn5V4O12 relaxed with PBEsol.

Properties
Raw formation energy   -2.370 eV per atom
DFT total energy   -13.608 eV/atom

Unit cell a=6.000 b=6.000 c=13.068 alpha=101.72 beta=101.72 gamma=91.00
Positions (direct):
Mn (0.134, 0.866, 0.750)
Mn (0.213, 0.455, 0.913)
Mn (0.324, 0.344, 0.166)
Mn (0.344, 0.324, 0.666)
Mn (0.455, 0.213, 0.413)
Mn (0.545, 0.787, 0.587)
Mn (0.656, 0.676, 0.334)
Mn (0.676, 0.656, 0.834)
Mn (0.787, 0.545, 0.087)
Mn (0.866, 0.134, 0.250)
V (0.000, 0.000, 0.000)
V (0.000, 0.000, 0.500)
V (0.000, 0.500, 0.500)
V (0.158, 0.678, 0.338)
V (0.322, 0.842, 0.162)
V (0.500, 0.000, 0.000)
V (0.678, 0.158, 0.838)
V (0.842, 0.322, 0.662)
O (0.080, 0.554, 0.658)
O (0.083, 0.096, 0.658)
O (0.096, 0.083, 0.158)
O (0.098, 0.609, 0.178)
O (0.223, 0.254, 0.504)
O (0.226, 0.754, 0.498)
O (0.246, 0.774, 0.002)
O (0.254, 0.223, 0.004)
O (0.391, 0.902, 0.322)
O (0.395, 0.455, 0.330)
O (0.446, 0.920, 0.842)
O (0.455, 0.395, 0.830)
O (0.545, 0.605, 0.170)
O (0.554, 0.080, 0.158)
O (0.605, 0.545, 0.670)
O (0.609, 0.098, 0.678)
O (0.746, 0.777, 0.996)
O (0.754, 0.226, 0.998)
O (0.774, 0.246, 0.502)
O (0.777, 0.746, 0.496)
O (0.902, 0.391, 0.822)
O (0.904, 0.917, 0.842)
O (0.917, 0.904, 0.342)
O (0.920, 0.446, 0.342)


A plane-wave DFT calculation with meta-GGA SCAN was carried out for a crystal of LaBi2Rh relaxed with PBEsol.

Properties
Energy of formation from the pure elements   -0.27 eV per atom
DFT total energy   -58.776 eV/atom

Unit cell a=7.330 b=7.330 c=7.330 alpha=90.00 beta=90.00 gamma=90.00
Positions (direct):
La (0.000, 0.000, 0.000)
La (0.000, 0.500, 0.500)
La (0.500, 0.000, 0.500)
La (0.500, 0.500, 0.000)
Bi (0.250, 0.250, 0.250)
Bi (0.250, 0.250, 0.750)
Bi (0.250, 0.750, 0.250)
Bi (0.250, 0.750, 0.750)
Bi (0.750, 0.250, 0.250)
Bi (0.750, 0.250, 0.750)
Bi (0.750, 0.750, 0.250)
Bi (0.750, 0.750, 0.750)
Rh (0.000, 0.000, 0.500)
Rh (0.000, 0.500, 0.000)
Rh (0.500, 0.000, 0.000)
Rh (0.500, 0.500, 0.500)


A plane-wave DFT calculation with meta-GGA SCAN was carried out for a crystal of Zr2TcTe relaxed with PBEsol.

Properties
Raw formation energy   -0.407 eV per atom
DFT total energy   -33.834 eV/atom

Unit cell a=5.878 b=7.617 c=3.427 alpha=90.00 beta=90.00 gamma=90.00
Positions (direct):
Zr (0.250, 0.250, 0.000)
Zr (0.250, 0.750, 0.000)
Zr (0.750, 0.250, 0.000)
Zr (0.750, 0.750, 0.000)
Tc (0.000, 0.000, 0.500)
Tc (0.500, 0.500, 0.500)
Te (0.000, 0.500, 0.500)
Te (0.500, 0.000, 0.500)


A plane-wave DFT calculation with meta-GGA SCAN was carried out for a crystal of MnPbBr2 relaxed with PBEsol.

Properties
Raw formation energy   -0.097 eV per atom
DFT total energy   -33.336 eV/atom

Unit cell a=7.274 b=7.274 c=7.274 alpha=90.00 beta=90.00 gamma=90.00
Positions (direct):
Mn (0.000, 0.000, 0.000)
Mn (0.000, 0.500, 0.500)
Mn (0.500, 0.000, 0.500)
Mn (0.500, 0.500, 0.000)
Pb (0.000, 0.000, 0.500)
Pb (0.000, 0.500, 0.000)
Pb (0.500, 0.000, 0.000)
Pb (0.500, 0.500, 0.500)
Br (0.250, 0.250, 0.250)
Br (0.250, 0.250, 0.750)
Br (0.250, 0.750, 0.250)
Br (0.250, 0.750, 0.750)
Br (0.750, 0.250, 0.250)
Br (0.750, 0.250, 0.750)
Br (0.750, 0.750, 0.250)
Br (0.750, 0.750, 0.750)


A plane-wave DFT calculation with meta-GGA SCAN was carried out for a crystal of PbCN2 relaxed with PBEsol.

Properties
Raw formation energy   0.116 eV per atom
DFT total energy   -26.000 eV/atom

Unit cell a=3.923 b=3.923 c=15.279 alpha=90.00 beta=90.00 gamma=120.00
Positions (direct):
Pb (0.000, 0.000, 0.000)
Pb (0.333, 0.667, 0.667)
Pb (0.667, 0.333, 0.333)
C (0.000, 0.000, 0.500)
C (0.333, 0.667, 0.167)
C (0.667, 0.333, 0.833)
N (0.000, 0.000, 0.419)
N (0.000, 0.000, 0.581)
N (0.333, 0.667, 0.086)
N (0.333, 0.667, 0.248)
N (0.667, 0.333, 0.752)
N (0.667, 0.333, 0.914)


A plane-wave DFT calculation with meta-GGA SCAN was carried out for a crystal of TbSi2Ir2 relaxed with PBEsol.

Properties
Raw formation energy   -1.232 eV per atom
DFT total energy   -43.031 eV/atom

Unit cell a=4.093 b=4.093 c=9.778 alpha=90.00 beta=90.00 gamma=90.00
Positions (direct):
Tb (0.250, 0.250, 0.246)
Tb (0.750, 0.750, 0.754)
Si (0.250, 0.250, 0.631)
Si (0.250, 0.750, 0.000)
Si (0.750, 0.250, 0.000)
Si (0.750, 0.750, 0.369)
Ir (0.250, 0.250, 0.871)
Ir (0.250, 0.750, 0.500)
Ir (0.750, 0.250, 0.500)
Ir (0.750, 0.750, 0.129)


A plane-wave DFT calculation with meta-GGA SCAN was carried out for a crystal of InAgP relaxed with PBEsol.

Properties
Energy of formation from the pure elements   0.40 eV per atom
DFT total energy   -24.654 eV/atom

Unit cell a=4.340 b=4.375 c=11.807 alpha=90.00 beta=90.00 gamma=90.00
Positions (direct):
In (0.000, 0.000, 0.000)
In (0.000, 0.500, 0.500)
In (0.500, 0.000, 0.500)
In (0.500, 0.500, 0.000)
Ag (0.000, 0.000, 0.685)
Ag (0.000, 0.500, 0.185)
Ag (0.500, 0.000, 0.185)
Ag (0.500, 0.500, 0.685)
P (0.000, 0.000, 0.319)
P (0.000, 0.500, 0.819)
P (0.500, 0.000, 0.819)
P (0.500, 0.500, 0.319)


A plane-wave DFT calculation with meta-GGA SCAN was carried out for a crystal of KTaCd2 relaxed with PBEsol.

Properties
Energy of formation from the pure elements   0.61 eV per atom
DFT total energy   -33.325 eV/atom

Unit cell a=2.795 b=5.619 c=11.743 alpha=90.00 beta=90.00 gamma=90.00
Positions (direct):
K (0.000, 0.000, 0.000)
K (0.500, 0.500, 0.500)
Ta (0.000, 0.500, 0.212)
Ta (0.500, 0.000, 0.712)
Cd (0.000, 0.000, 0.497)
Cd (0.000, 0.500, 0.768)
Cd (0.500, 0.000, 0.268)
Cd (0.500, 0.500, 0.997)


A plane-wave DFT calculation with meta-GGA SCAN was carried out for a crystal of CsH2I relaxed with PBEsol.

Properties
DFT total energy   -20.134 eV/atom

Unit cell a=5.133 b=5.133 c=15.268 alpha=90.00 beta=90.00 gamma=90.00
Positions (direct):
Cs (0.000, 0.000, 0.000)
Cs (0.000, 0.500, 0.250)
Cs (0.500, 0.000, 0.750)
Cs (0.500, 0.500, 0.500)
H (0.034, 0.750, 0.625)
H (0.250, 0.034, 0.375)
H (0.250, 0.466, 0.875)
H (0.466, 0.750, 0.125)
H (0.534, 0.250, 0.125)
H (0.750, 0.534, 0.875)
H (0.750, 0.966, 0.375)
H (0.966, 0.250, 0.625)
I (0.000, 0.000, 0.500)
I (0.000, 0.500, 0.750)
I (0.500, 0.000, 0.250)
I (0.500, 0.500, 0.000)


A plane-wave DFT calculation with meta-GGA SCAN was carried out for a crystal of MnCuP2 relaxed with PBEsol.

Properties
Energy of formation from the pure elements   0.09 eV per atom
DFT total energy   -13.477 eV/atom

Unit cell a=3.970 b=3.970 c=3.115 alpha=90.00 beta=90.00 gamma=90.00
Positions (direct):
Mn (0.000, 0.000, 0.000)
Cu (0.500, 0.500, 0.000)
P (0.000, 0.500, 0.500)
P (0.500, 0.000, 0.500)


A plane-wave DFT calculation with meta-GGA SCAN was carried out for a crystal of LiRh3 relaxed with PBEsol.

Properties
Energy of formation from the pure elements   -0.04 eV per atom
DFT total energy   -25.965 eV/atom

Unit cell a=2.655 b=3.783 c=5.179 alpha=90.00 beta=90.00 gamma=90.00
Positions (direct):
Li (0.000, 0.000, 0.000)
Rh (0.000, 0.000, 0.500)
Rh (0.500, 0.500, 0.246)
Rh (0.500, 0.500, 0.754)